Entry 1:
A plane-wave DFT calculation with PBE-GGA was carried out for a relaxed structure of Zr2CdIn2.

The calculation puts the uncorrected energy at -23.51 eV per formula unit. The value obtained for the energy above the most stable polymorph in this dataset is 0.1055 eV per atom. For the formation energy, the calculation gives -0.01 eV per atom.

The space group is P4/mbm (No. 127) and the conventional cell measures 8.514, 8.514 and 3.367 Å, with angles of 90.00, 90.00 and 90.00 degrees. The inequivalent atoms are Zr at (0.124, 0.376, 0.000), Cd at (0.000, 0.000, 0.000) and In at (0.176, 0.676, 0.500).

Entry 2:
A plane-wave DFT calculation with PBE-GGA was carried out for a relaxed structure of TbZn3Ga.

The calculation puts the uncorrected energy at -13.39 eV per formula unit. For the formation energy, the calculation gives -0.38 eV per atom.

The space group is Cm (No. 8) and the conventional cell measures 5.912, 5.931 and 5.984 Å, with angles of 90.00, 118.86 and 90.00 degrees. The inequivalent atoms are Tb at (0.000, 0.000, 0.000), Zn at (0.383, 0.000, 0.763), Zn at (0.499, 0.254, 0.499) and Ga at (0.110, 0.500, 0.223).

Entry 3:
A plane-wave DFT calculation with PBE-GGA was carried out for a relaxed structure of In3Hg8H2.

The calculation puts the uncorrected energy at -15.55 eV per formula unit.

The space group is P-1 (No. 2) and the conventional cell measures 3.370, 6.351 and 14.828 Å, with angles of 97.94, 95.38 and 94.14 degrees. The inequivalent atoms are In at (0.000, 0.000, 0.000), In at (0.374, 0.035, 0.730), Hg at (0.037, 0.296, 0.164), Hg at (0.156, 0.657, 0.390), Hg at (0.257, 0.195, 0.438), Hg at (0.489, 0.341, 0.911) and H at (0.062, 0.471, 0.274).